Entry 1:
The following is a PBE calculation of a relaxed structure of CaCdFeP, from Alexandria.

Computed properties:
**E**: -19.11 eV per formula unit
**D(E_F)**: 2.8 states/eV/f.u.
**Magnetic moment**: 0.00 Bohr magnetons per cell

Lattice parameters (Å, degrees): 3.8752 3.8752 10.7666 90.00 90.00 90.00
With the nearest neighbours (Å) after each atom.
Fractional coordinates of all 8 atoms:
Ca 0.2500 0.2500 0.2233  4 P 3.03, 4 Fe 3.09
Ca 0.7500 0.7500 0.7767  4 P 3.03, 4 Fe 3.09
Cd 0.2500 0.7500 0.5000  4 Cd 2.74
Cd 0.7500 0.2500 0.5000  4 Cd 2.74
Fe 0.2500 0.7500 0.0000  4 P 2.23
Fe 0.7500 0.2500 0.0000  4 P 2.23
P 0.2500 0.2500 0.8966  4 Fe 2.23
P 0.7500 0.7500 0.1034  4 Fe 2.23

***

Entry 2:
The following is a PBE calculation of a relaxed structure of Ca2CdFePt, from Alexandria.

Computed properties:
**E**: -19.55 eV per formula unit
**D(E_F)**: 6.7 states/eV/f.u.
**Magnetic moment**: 3.16 Bohr magnetons per cell

Lattice parameters (Å, degrees): 5.5254 5.5254 4.7650 90.00 90.00 90.00
With the nearest neighbours (Å) after each atom.
Fractional coordinates of all 5 atoms:
Ca 0.0000 0.5000 0.0000  2 Pt 2.76
Ca 0.5000 0.0000 0.0000  2 Pt 2.76
Cd 0.0000 0.0000 0.5000  8 Ca 3.65, 4 Fe 3.91
Fe 0.5000 0.5000 0.5000  2 Pt 2.38
Pt 0.5000 0.5000 0.0000  2 Fe 2.38

***

Entry 3:
The following is a PBE calculation of a relaxed structure of Ca2ScCdFe, from Alexandria.

Computed properties:
**E**: -16.87 eV per formula unit
**D(E_F)**: 9.0 states/eV/f.u.
**Magnetic moment**: 0.00 Bohr magnetons per cell

Lattice parameters (Å, degrees): 5.0937 5.0937 5.1751 90.00 90.00 90.00
With the nearest neighbours (Å) after each atom.
Fractional coordinates of all 5 atoms:
Ca 0.0000 0.5000 0.0000  2 Fe 2.55
Ca 0.5000 0.0000 0.0000  2 Fe 2.55
Sc 0.0000 0.0000 0.5000  4 Cd 3.60, 8 Ca 3.63
Cd 0.5000 0.5000 0.5000  2 Fe 2.59
Fe 0.5000 0.5000 0.0000  4 Ca 2.55, 2 Cd 2.59

***

Entry 4:
The following is a PBE calculation of a relaxed structure of CaCdFe2Tc, from Alexandria.

Computed properties:
**E**: -19.88 eV per formula unit
**D(E_F)**: 6.7 states/eV/f.u.
**Magnetic moment**: 7.13 Bohr magnetons per cell

Lattice parameters (Å, degrees): 4.4350 4.4350 5.1402 90.00 90.00 90.00
With the nearest neighbours (Å) after each atom.
Fractional coordinates of all 5 atoms:
Ca 0.0000 0.0000 0.0000  4 Fe 2.22
Cd 0.0000 0.0000 0.5000  2 Ca 2.57
Fe 0.0000 0.5000 0.0000  2 Ca 2.22
Fe 0.5000 0.0000 0.0000  2 Ca 2.22
Tc 0.5000 0.5000 0.5000  4 Cd 3.14, 8 Fe 3.39

***

Entry 5:
The following is a PBE calculation of a relaxed structure of CaCd2FeW, from Alexandria.

Computed properties:
**E**: -14.04 eV per formula unit
**D(E_F)**: 6.5 states/eV/f.u.
**Magnetic moment**: 0.24 Bohr magnetons per cell

Lattice parameters (Å, degrees): 5.1261 5.1261 4.0517 90.00 90.00 90.00
With the nearest neighbours (Å) after each atom.
Fractional coordinates of all 5 atoms:
Ca 0.0000 0.0000 0.0000  2 Fe 2.03
Cd 0.0000 0.5000 0.0000  2 Ca 2.56
Cd 0.5000 0.0000 0.0000  2 Ca 2.56
Fe 0.0000 0.0000 0.5000  2 Ca 2.03
W 0.5000 0.5000 0.5000  8 Cd 3.27, 4 Fe 3.62

***

Entry 6:
The following is a PBE calculation of a relaxed structure of CaCd2Ga, from Alexandria.

Computed properties:
**E**: -7.83 eV per formula unit
**D(E_F)**: 1.9 states/eV/f.u.
**Magnetic moment**: 0.00 Bohr magnetons per cell

Lattice parameters (Å, degrees): 4.4819 4.4819 4.7297 90.00 90.00 90.00
With the nearest neighbours (Å) after each atom.
Fractional coordinates of all 4 atoms:
Ca 0.0000 0.0000 0.0000  4 Ga 3.17, 8 Cd 3.26
Cd 0.0000 0.5000 0.5000  4 Cd 3.17, 4 Ga 3.26, 4 Ca 3.26
Cd 0.5000 0.0000 0.5000  4 Cd 3.17, 4 Ga 3.26, 4 Ca 3.26
Ga 0.5000 0.5000 0.0000  4 Ca 3.17, 8 Cd 3.26

***

Entry 7:
The following is a PBE calculation of a relaxed structure of CaCdGa3, from Alexandria.

Computed properties:
**E**: -11.00 eV per formula unit
**D(E_F)**: 1.8 states/eV/f.u.
**Magnetic moment**: 0.00 Bohr magnetons per cell

Lattice parameters (Å, degrees): 5.1835 5.1835 5.1835 90.00 90.00 90.00
With the nearest neighbours (Å) after each atom.
Fractional coordinates of all 5 atoms:
Ca 0.0000 0.0000 0.0000  12 Ga 3.67
Cd 0.5000 0.5000 0.5000  6 Ga 2.59
Ga 0.0000 0.5000 0.5000  2 Cd 2.59
Ga 0.5000 0.0000 0.5000  2 Cd 2.59
Ga 0.5000 0.5000 0.0000  2 Cd 2.59

***

Entry 8:
The following is a PBE calculation of a relaxed structure of CaCd2Ga2, from Alexandria.

Computed properties:
**E**: -10.45 eV per formula unit
**D(E_F)**: 1.5 states/eV/f.u.
**Magnetic moment**: 0.00 Bohr magnetons per cell

Lattice parameters (Å, degrees): 8.2174 8.2174 3.4442 90.00 90.00 90.00
With the nearest neighbours (Å) after each atom.
Fractional coordinates of all 10 atoms:
Ca 0.0000 0.0000 0.0000  4 Cd 3.25, 2 Ca 3.44, 8 Ga 3.49
Ca 0.5000 0.5000 0.0000  4 Cd 3.25, 2 Ca 3.44, 8 Ga 3.49
Cd 0.1256 0.3744 0.0000  6 Ga 2.89-3.04, 1 Cd 2.92
Cd 0.3744 0.8744 0.0000  6 Ga 2.89-3.04, 1 Cd 2.92
Cd 0.6256 0.1256 0.0000  6 Ga 2.89-3.04, 1 Cd 2.92
Cd 0.8744 0.6256 0.0000  6 Ga 2.89-3.04, 1 Cd 2.92
Ga 0.1752 0.6752 0.5000  6 Cd 2.89-3.04
Ga 0.3248 0.1752 0.5000  6 Cd 2.89-3.04
Ga 0.6752 0.8248 0.5000  6 Cd 2.89-3.04
Ga 0.8248 0.3248 0.5000  6 Cd 2.89-3.04